# ZrNp2Ni9, relaxed, DFT PBE-GGA
# - V (A^3/atom) = 13.711
# - total DFT energy (no corrections) (eV/atom) = -7.435
# - E_form (eV/atom) = -0.230
data_ZrNp2Ni9
_chemical_formula_sum 'Zr2 Np4 Ni18'
_cell_length_a 4.8252
_cell_length_b 4.8252
_cell_length_c 16.3202
_cell_angle_alpha 90.00
_cell_angle_beta 90.00
_cell_angle_gamma 120.00
_space_group_name_H-M_alt 'P 1'
_space_group_IT_number 1
_space_group_name_Hall 'P 1'
loop_
_atom_site_label
_atom_site_fract_x
_atom_site_fract_y
_atom_site_fract_z
Ni1 0.1664 0.8336 0.1274
Ni2 0.6672 0.8336 0.1274
Ni3 0.1664 0.3328 0.3726
Ni4 0.6672 0.8336 0.3726
Ni5 0.1664 0.8336 0.3726
Ni6 0.0000 0.0000 0.2500
Ni7 0.8336 0.6672 0.8726
Ni8 0.0000 0.0000 0.5000
Ni9 0.8336 0.6672 0.6274
Ni10 0.8336 0.1664 0.8726
Ni11 0.3328 0.1664 0.6274
Ni12 0.3333 0.6667 0.2500
Ni13 0.0000 0.0000 0.7500
Ni14 0.8336 0.1664 0.6274
Ni15 0.3328 0.1664 0.8726
Ni16 0.1664 0.3328 0.1274
Ni17 0.6667 0.3333 0.7500
Ni18 0.0000 0.0000 0.0000
Zr1 0.6667 0.3333 0.2500
Zr2 0.3333 0.6667 0.7500
Np1 0.3333 0.6667 0.5351
Np2 0.6667 0.3333 0.0351
Np3 0.3333 0.6667 0.9649
Np4 0.6667 0.3333 0.4649